InFe2MoN: optimized geometry, PBE.

The total DFT energy (no corrections) is -7.8096 eV per atom. The calculation puts the formation energy (no corrections) at -0.0455 eV/atom. The total magnetic moment is 0.782 μB/atom. Its density of states at the Fermi level is 3.139 states/eV per cell.

The space group is P4/mmm (No. 123) and the conventional cell measures 3.9653, 3.9653 and 4.1224 Å, with angles of 90.00, 90.00 and 90.00 degrees. The inequivalent atoms are In at (0.0000, 0.0000, 0.0000), Fe at (0.0000, 0.5000, 0.5000), Mo at (0.5000, 0.5000, 0.0000) and N at (0.5000, 0.5000, 0.5000).